1.
Entry from Alexandria via LeMat-Bulk: HfZrPt2N after structural relaxation (PBE).

DOS(E_F) ... 5.866 states/eV per cell
Energy relative to the elements, uncorrected ... 1789 meV per atom

Lattice parameters (Å, degrees): 4.826 4.826 5.490 90.00 90.00 90.00
Element x y z (fractional)
Hf1 0.000 0.000 0.000
Zr1 0.000 0.000 0.500
Pt1 0.000 0.500 0.000
Pt2 0.500 0.000 0.000
N1 0.500 0.500 0.500

2.
Entry from Alexandria via LeMat-Bulk: Hf3ZrPt2N after structural relaxation (PBE).

DOS(E_F) ... 1.880 states/eV per cell
Energy relative to the elements, uncorrected ... -1076 meV per atom

Lattice parameters (Å, degrees): 7.493 7.493 7.493 146.43 146.12 48.44
Element x y z (fractional)
Hf1 0.000 0.000 0.000
Hf2 0.178 0.678 0.500
Hf3 0.822 0.322 0.500
Zr1 0.500 0.500 0.000
Pt1 0.364 0.864 0.500
Pt2 0.636 0.136 0.500
N1 0.000 0.500 0.500

3.
Entry from Alexandria via LeMat-Bulk: PuHfN2 after structural relaxation (PBE).

DOS(E_F) ... 16.128 states/eV per cell
Energy relative to the elements, uncorrected ... -1543 meV per atom

Lattice parameters (Å, degrees): 3.282 3.282 11.360 90.00 90.00 120.00
Element x y z (fractional)
Pu1 0.333 0.667 0.250
Pu2 0.667 0.333 0.750
Hf1 0.000 0.000 0.000
Hf2 0.000 0.000 0.500
N1 0.333 0.667 0.609
N2 0.333 0.667 0.891
N3 0.667 0.333 0.109
N4 0.667 0.333 0.391

4.
Entry from Alexandria via LeMat-Bulk: PuHfN after structural relaxation (PBE).

DOS(E_F) ... 4.453 states/eV per cell
Energy relative to the elements, uncorrected ... -880 meV per atom

Lattice parameters (Å, degrees): 3.256 3.256 5.815 90.00 90.00 120.00
Element x y z (fractional)
Pu1 0.000 0.000 0.000
Hf1 0.333 0.667 0.470
N1 0.667 0.333 0.267

5.
Entry from Alexandria via LeMat-Bulk: PuHfN3 after structural relaxation (PBE).

DOS(E_F) ... 8.264 states/eV per cell
Energy relative to the elements, uncorrected ... -962 meV per atom

Lattice parameters (Å, degrees): 6.183 6.183 6.183 52.61 52.61 52.61
Element x y z (fractional)
Pu1 0.150 0.150 0.150
Pu2 0.850 0.850 0.850
Hf1 0.353 0.353 0.353
Hf2 0.647 0.647 0.647
N1 0.052 0.462 0.734
N2 0.266 0.538 0.948
N3 0.462 0.734 0.052
N4 0.538 0.948 0.266
N5 0.734 0.052 0.462
N6 0.948 0.266 0.538

6.
Entry from Alexandria via LeMat-Bulk: Pu5Hf3N8 after structural relaxation (PBE).

DOS(E_F) ... 29.099 states/eV per cell
Energy relative to the elements, uncorrected ... -1481 meV per atom

Lattice parameters (Å, degrees): 6.773 6.773 6.773 59.35 59.35 59.35
Element x y z (fractional)
Pu1 0.000 0.000 0.000
Pu2 0.000 0.500 0.500
Pu3 0.500 0.000 0.500
Pu4 0.500 0.500 0.000
Pu5 0.500 0.500 0.500
Hf1 0.000 0.000 0.500
Hf2 0.000 0.500 0.000
Hf3 0.500 0.000 0.000
N1 0.227 0.750 0.750
N2 0.242 0.242 0.242
N3 0.250 0.250 0.773
N4 0.250 0.773 0.250
N5 0.750 0.227 0.750
N6 0.750 0.750 0.227
N7 0.758 0.758 0.758
N8 0.773 0.250 0.250